1.
A relaxed MgScSe2 crystal, computed with PBE.

a = 3.792 Å, b = 3.792 Å, c = 7.079 Å
α = 74.47°, β = 74.47°, γ = 60.00°
Atoms (fractional coordinates):
1 Mg 0.667 0.667 0.998
2 Sc 0.500 0.500 0.499
3 Se 0.080 0.080 0.761
4 Se 0.252 0.252 0.243

* total energy: -5.080 eV per atom
* crystal system: trigonal
* formation energy (no corrections): -1.356 eV/atom
* Fermi-level density of states: 0.334 states/eV/atom
* total magnetic moment: 0.8 μB per cell

2.
A relaxed MgSc2Se crystal, computed with PBE.

a = 3.758 Å, b = 3.758 Å, c = 6.150 Å
α = 90.00°, β = 90.00°, γ = 90.00°
Atoms (fractional coordinates):
1 Mg 0.500 0.500 0.767
2 Sc 0.000 0.000 0.002
3 Sc 0.500 0.500 0.272
4 Se 0.000 0.000 0.459

* total energy: -4.979 eV per atom
* crystal system: tetragonal
* formation energy (no corrections): -0.543 eV/atom
* Fermi-level density of states: 0.820 states/eV/atom
* total magnetic moment: 0.0 μB per cell
* distance to the lowest polymorph of the same formula: 0.207 eV/atom

3.
A relaxed Mg4ScSe crystal, computed with PBE.

a = 5.824 Å, b = 5.824 Å, c = 5.824 Å
α = 60.00°, β = 60.00°, γ = 60.00°
Atoms (fractional coordinates):
1 Mg 0.872 0.376 0.376
2 Mg 0.376 0.376 0.872
3 Mg 0.376 0.872 0.376
4 Mg 0.376 0.376 0.376
5 Sc 0.750 0.750 0.750
6 Se 0.000 0.000 0.000

* total energy: -2.631 eV per atom
* crystal system: cubic
* formation energy (no corrections): 0.068 eV/atom
* Fermi-level density of states: 0.968 states/eV/atom
* total magnetic moment: 0.0 μB per cell

4.
A relaxed MgScSe2 crystal, computed with PBE.

a = 3.476 Å, b = 3.525 Å, c = 7.070 Å
α = 73.62°, β = 90.00°, γ = 90.00°
Atoms (fractional coordinates):
1 Mg 0.500 0.250 0.250
2 Sc 0.500 0.750 0.750
3 Se 0.000 0.139 0.984
4 Se 0.000 0.361 0.516

* total energy: -4.842 eV per atom
* crystal system: monoclinic
* formation energy (no corrections): -1.118 eV/atom
* Fermi-level density of states: 0.561 states/eV/atom
* total magnetic moment: 0.0 μB per cell

5.
A relaxed MgScSe2 crystal, computed with PBE.

a = 3.880 Å, b = 3.880 Å, c = 19.124 Å
α = 90.00°, β = 90.00°, γ = 120.00°
Atoms (fractional coordinates):
1 Mg 0.667 0.333 0.834
2 Mg 0.333 0.667 0.166
3 Mg 0.000 0.000 0.000
4 Sc 0.333 0.667 0.660
5 Sc 0.667 0.333 0.340
6 Sc 0.000 0.000 0.500
7 Se 0.333 0.667 0.917
8 Se 0.667 0.333 0.083
9 Se 0.333 0.667 0.418
10 Se 0.667 0.333 0.582
11 Se 0.000 0.000 0.750
12 Se 0.000 0.000 0.250

* total energy: -5.129 eV per atom
* crystal system: trigonal
* formation energy (no corrections): -1.405 eV/atom
* Fermi-level density of states: 0.418 states/eV/atom
* total magnetic moment: 0.0 μB per cell

6.
A relaxed MgSc2Se crystal, computed with PBE.

a = 5.018 Å, b = 5.018 Å, c = 5.018 Å
α = 60.00°, β = 60.00°, γ = 60.00°
Atoms (fractional coordinates):
1 Mg 0.500 0.500 0.500
2 Sc 0.000 0.000 0.000
3 Sc 0.250 0.250 0.250
4 Se 0.750 0.750 0.750

* total energy: -4.437 eV per atom
* crystal system: cubic
* formation energy (no corrections): -0.002 eV/atom
* Fermi-level density of states: 1.494 states/eV/atom
* total magnetic moment: 1.9 μB per cell
* distance to the lowest polymorph of the same formula: 0.749 eV/atom

7.
A relaxed MgSc2Se crystal, computed with PBE.

a = 4.938 Å, b = 4.938 Å, c = 4.938 Å
α = 60.00°, β = 60.00°, γ = 60.00°
Atoms (fractional coordinates):
1 Sc 0.250 0.250 0.250
2 Sc 0.750 0.750 0.750
3 Mg 0.000 0.000 0.000
4 Se 0.500 0.500 0.500

* total energy: -4.759 eV per atom
* crystal system: cubic
* formation energy (no corrections): -0.323 eV/atom
* Fermi-level density of states: 0.789 states/eV/atom
* total magnetic moment: 0.0 μB per cell
* distance to the lowest polymorph of the same formula: 0.427 eV/atom

8.
A relaxed SmMgSc4Se8 crystal, computed with PBE.

a = 8.008 Å, b = 8.008 Å, c = 8.121 Å
α = 60.46°, β = 60.46°, γ = 60.00°
Atoms (fractional coordinates):
1 Sm 0.001 0.001 0.997
2 Mg 0.374 0.374 0.879
3 Sc 0.628 0.628 0.116
4 Sc 0.003 0.492 0.503
5 Sc 0.492 0.003 0.503
6 Sc 0.003 0.003 0.503
7 Se 0.253 0.766 0.728
8 Se 0.766 0.253 0.728
9 Se 0.253 0.253 0.728
10 Se 0.243 0.243 0.271
11 Se 0.745 0.235 0.274
12 Se 0.235 0.745 0.274
13 Se 0.745 0.745 0.274
14 Se 0.759 0.759 0.723

* total energy: -5.851 eV per atom
* crystal system: trigonal
* formation energy (no corrections): -1.600 eV/atom
* Fermi-level density of states: 0.383 states/eV/atom
* total magnetic moment: 0.0 μB per cell

9.
A relaxed SrMgSc4Se8 crystal, computed with PBE.

a = 8.145 Å, b = 8.145 Å, c = 8.202 Å
α = 60.23°, β = 60.23°, γ = 60.00°
Atoms (fractional coordinates):
1 Sr 0.377 0.377 0.870
2 Mg 0.002 0.002 0.995
3 Sc 0.623 0.623 0.131
4 Sc 0.003 0.491 0.503
5 Sc 0.491 0.003 0.503
6 Sc 0.003 0.003 0.503
7 Se 0.234 0.803 0.728
8 Se 0.803 0.234 0.728
9 Se 0.234 0.234 0.728
10 Se 0.234 0.234 0.297
11 Se 0.756 0.229 0.260
12 Se 0.229 0.756 0.260
13 Se 0.756 0.756 0.260
14 Se 0.756 0.756 0.733

* total energy: -5.600 eV per atom
* crystal system: trigonal
* formation energy (no corrections): -1.566 eV/atom
* Fermi-level density of states: 0.000 states/eV/atom
* total magnetic moment: 0.0 μB per cell

10.
A relaxed Tb3MgSc3Se8 crystal, computed with PBE.

a = 7.912 Å, b = 7.913 Å, c = 7.966 Å
α = 119.78°, β = 90.00°, γ = 120.00°
Atoms (fractional coordinates):
1 Tb 0.000 0.000 0.000
2 Tb 0.000 0.500 0.000
3 Tb 0.500 0.500 0.000
4 Mg 0.000 0.000 0.500
5 Sc 0.500 0.000 0.500
6 Sc 0.500 0.500 0.500
7 Sc 0.000 0.500 0.500
8 Se 0.256 0.511 0.267
9 Se 0.744 0.489 0.733
10 Se 0.753 0.506 0.264
11 Se 0.247 0.494 0.736
12 Se 0.753 0.011 0.264
13 Se 0.247 0.989 0.736
14 Se 0.257 0.011 0.264
15 Se 0.743 0.989 0.736

* total energy: -5.842 eV per atom
* crystal system: trigonal
* formation energy (no corrections): -1.685 eV/atom
* Fermi-level density of states: 0.264 states/eV/atom
* total magnetic moment: 0.0 μB per cell

11.
A relaxed TbMgSc4Se8 crystal, computed with PBE.

a = 7.997 Å, b = 7.997 Å, c = 8.085 Å
α = 60.36°, β = 60.36°, γ = 60.00°
Atoms (fractional coordinates):
1 Tb 0.001 0.001 0.996
2 Mg 0.374 0.374 0.879
3 Sc 0.627 0.627 0.118
4 Sc 0.003 0.492 0.503
5 Sc 0.492 0.003 0.503
6 Sc 0.003 0.003 0.503
7 Se 0.251 0.767 0.732
8 Se 0.767 0.251 0.732
9 Se 0.251 0.251 0.732
10 Se 0.243 0.243 0.271
11 Se 0.749 0.233 0.270
12 Se 0.233 0.749 0.270
13 Se 0.749 0.749 0.270
14 Se 0.759 0.759 0.724

* total energy: -5.852 eV per atom
* crystal system: trigonal
* formation energy (no corrections): -1.607 eV/atom
* Fermi-level density of states: 0.376 states/eV/atom
* total magnetic moment: 0.0 μB per cell

12.
A relaxed MgSc2TiSe crystal, computed with PBE.

a = 5.307 Å, b = 5.307 Å, c = 4.757 Å
α = 90.00°, β = 90.00°, γ = 90.00°
Atoms (fractional coordinates):
1 Sc 0.000 0.500 0.000
2 Sc 0.500 0.000 0.000
3 Mg 0.000 0.000 0.000
4 Se 0.000 0.000 0.500
5 Ti 0.500 0.500 0.500

* total energy: -4.329 eV per atom
* crystal system: tetragonal
* formation energy (no corrections): 0.798 eV/atom
* Fermi-level density of states: 1.178 states/eV/atom
* total magnetic moment: 4.0 μB per cell

13.
A relaxed MgScSi3 crystal, computed with PBE.

a = 4.793 Å, b = 4.793 Å, c = 4.793 Å
α = 90.00°, β = 90.00°, γ = 90.00°
Atoms (fractional coordinates):
1 Sc 0.500 0.500 0.500
2 Si 0.000 0.500 0.000
3 Si 0.000 0.000 0.500
4 Si 0.500 0.000 0.000
5 Mg 0.000 0.000 0.000

* total energy: -4.030 eV per atom
* crystal system: cubic
* formation energy (no corrections): 0.809 eV/atom
* Fermi-level density of states: 0.640 states/eV/atom
* total magnetic moment: 0.0 μB per cell
* distance to the lowest polymorph of the same formula: 0.070 eV/atom